Entry from Alexandria via LeMat-Bulk: LaMn5Ge7 after structural relaxation (PBE).

Geometry as extended XYZ:
```
13
Lattice="-2.633 4.537 4.238 2.633 -4.537 4.238 2.633 4.537 -4.238" Properties=species:S:1:pos:R:3 pbc="T T T"
La 0.000 0.000 0.000
Mn 1.345 -2.176 2.119
Mn 3.922 -2.176 2.119
Mn 1.345 2.176 2.119
Mn 3.922 2.176 2.119
Mn 0.000 4.537 2.114
Ge 2.633 1.701 -0.122
Ge 2.633 0.000 1.976
Ge 0.000 3.036 0.116
Ge 0.000 0.000 3.035
Ge 0.000 0.000 5.573
Ge 0.000 6.037 0.116
Ge 0.000 2.835 4.116
```

Output
For the total magnetic moment, the calculation gives 10.21 μB per cell. The calculation puts the volume at 15.6 A^3/atom. The space-group type is No. 44. The uncorrected energy is -6.5518 eV/atom.


Entry from Alexandria via LeMat-Bulk: La2MnGeN after structural relaxation (PBE).

Geometry as extended XYZ:
```
5
Lattice="5.205 0.000 0.000 0.000 5.205 0.000 0.000 0.000 3.956" Properties=species:S:1:pos:R:3 pbc="T T T"
La 0.000 2.602 0.000
La 2.602 0.000 0.000
Mn 0.000 0.000 1.978
Ge 2.602 2.602 1.978
N 0.000 0.000 0.000
```

Output
For the total magnetic moment, the calculation gives 3.73 μB per cell. The calculation puts the volume at 21.4 A^3/atom. The space-group type is No. 123. The uncorrected energy is -7.1265 eV/atom.


Entry from Alexandria via LeMat-Bulk: LaMn2GeN after structural relaxation (PBE).

Geometry as extended XYZ:
```
10
Lattice="1.929 -5.494 0.000 1.929 5.494 0.000 0.000 0.000 7.206" Properties=species:S:1:pos:R:3 pbc="T T T"
La 1.929 5.001 5.404
La 1.929 -5.001 1.801
Mn 1.929 1.790 4.029
Mn 1.929 1.790 6.779
Mn 1.929 -1.790 0.426
Mn 1.929 -1.790 3.176
Ge 1.929 2.940 1.801
Ge 1.929 -2.940 5.404
N 1.929 0.000 0.000
N 1.929 0.000 3.603
```

Output
For the total magnetic moment, the calculation gives 6.31 μB per cell. The calculation puts the volume at 15.3 A^3/atom. The space-group type is No. 63. The uncorrected energy is -7.8854 eV/atom.


- What is the total magnetic moment in the first record?
  10.21 μB per cell


- Number 2 is which compound?
  La2MnGeN


- uncorrected energy of number 2 (La2MnGeN)?
  -7.1265 eV/atom


- Among the records above, which one has the highest total magnetic moment?
  LaMn5Ge7